Record 1
K2ZnSnSe4 | PBE | optimized geometry

Computed properties:
For the total energy, the calculation gives -3.521 eV/atom. The calculation puts the formation energy from raw total energies at -0.845 eV per atom. The calculation puts the volume at 255.3 Å³/f.u.

Cell lengths 7.5128, 7.5128, 9.0457 Å; angles 90.00, 90.00, 90.00 degrees
Closest atoms and distances in Å follow each position.
Space group I-4 (No. 82)
Inequivalent atoms, fractional coordinates:
K  0.0000  0.0000  0.0000  4 Se 3.41
K  0.0000  0.5000  0.2500  4 Se 3.26
Zn  0.0000  0.5000  0.7500  4 Se 2.48
Sn  0.0000  0.0000  0.5000  4 Se 2.58
Se  0.1665  0.7546  0.6428  1 Zn 2.48, 1 Sn 2.58

Record 2
K2ZrSnSe5 | PBE | optimized geometry

Computed properties:
For the total energy, the calculation gives -4.595 eV/atom. The calculation puts the formation energy from raw total energies at -1.021 eV per atom. The calculation puts the volume at 284.3 Å³/f.u.

Cell lengths 4.0404, 19.5760, 14.3766 Å; angles 90.00, 90.00, 90.00 degrees
Closest atoms and distances in Å follow each position.
Space group Cmc2_1 (No. 36)
Inequivalent atoms, fractional coordinates:
K  0.0000  0.1197  0.0000  5 Se 3.31-3.45
K  0.0000  0.1318  0.6429  7 Se 3.35-3.59
Zr  0.0000  0.2187  0.3573  3 Se 2.47-2.68
Sn  0.0000  0.4369  0.7476  4 Se 2.46-2.64
Se  0.0000  0.0566  0.3650  2 Sn 2.64
Se  0.0000  0.2951  0.9778  2 Zr 2.68
Se  0.0000  0.3062  0.7195  1 Sn 2.59, 2 Zr 2.87
Se  0.0000  0.3427  0.3251  1 Zr 2.47
Se  0.0000  0.4992  0.5987  1 Sn 2.46

Record 3
KSr2Se | PBE | optimized geometry

Computed properties:
For the total energy, the calculation gives -2.427 eV/atom. The calculation puts the formation energy from raw total energies at -0.440 eV per atom. The calculation puts the volume at 158.9 Å³/f.u.

Cell lengths 4.9346, 4.9346, 13.0543 Å; angles 90.00, 90.00, 90.00 degrees
Closest atoms and distances in Å follow each position.
Space group I-4m2 (No. 119)
Inequivalent atoms, fractional coordinates:
K  0.0000  0.0000  0.0000  4 Sr 3.49
Sr  0.0000  0.0000  0.5000  4 K 3.49
Sr  0.0000  0.5000  0.2500  4 Se 3.49
Se  0.0000  0.5000  0.7500  4 Sr 3.49

Record 4
K2SrSe | PBE | optimized geometry

Computed properties:
For the total energy, the calculation gives -2.176 eV/atom. The calculation puts the formation energy from raw total energies at -0.336 eV per atom. The calculation puts the volume at 164.5 Å³/f.u.

Cell lengths 8.6979, 8.6979, 8.6979 Å; angles 90.00, 90.00, 90.00 degrees
Closest atoms and distances in Å follow each position.
Space group F-43m (No. 216)
Inequivalent atoms, fractional coordinates:
K  0.0000  0.0000  0.0000  4 K 3.77, 4 Se 3.77
K  0.2500  0.2500  0.2500  4 K 3.77, 4 Sr 3.77
Sr  0.0000  0.0000  0.5000  4 Se 3.77, 4 K 3.77
Se  0.2500  0.2500  0.7500  4 K 3.77, 4 Sr 3.77

Record 5
KSr2Se | PBE | optimized geometry

Computed properties:
For the total energy, the calculation gives -2.898 eV/atom. The calculation puts the formation energy from raw total energies at -0.911 eV per atom. The calculation puts the volume at 187.3 Å³/f.u.

Cell lengths 7.5398, 4.3629, 11.3906 Å; angles 90.00, 90.21, 90.00 degrees
Closest atoms and distances in Å follow each position.
Space group Cm (No. 8)
Inequivalent atoms, fractional coordinates:
K  0.0000  0.0000  0.0000  6 K 4.36, 6 Sr 4.57-4.60
Sr  0.1681  0.5000  0.3359  3 Se 3.13-3.14
Sr  0.3368  0.0000  0.6644  3 Se 3.13-3.14
Se  0.0025  0.0000  0.5001  6 Sr 3.13-3.14

Record 6
KSr2Se | PBE | optimized geometry

Computed properties:
For the total energy, the calculation gives -2.815 eV/atom. The calculation puts the formation energy from raw total energies at -0.829 eV per atom. The calculation puts the volume at 182.8 Å³/f.u.

Cell lengths 4.1605, 7.8815, 11.7077 Å; angles 104.52, 99.97, 90.20 degrees
Closest atoms and distances in Å follow each position.
Space group P1 (No. 1)
Inequivalent atoms, fractional coordinates:
K  0.0000  0.0000  0.0000  4 Se 3.50-3.62, 1 Sr 3.64
K  0.1945  0.9060  0.3236  3 K 3.99-4.16, 3 Sr 4.13-4.26
Sr  0.3082  0.3622  0.5963  2 Se 3.08-3.11
Sr  0.6600  0.4266  0.2853  4 Sr 4.16-4.29, 4 K 4.21-4.60
Sr  0.8482  0.8690  0.6734  4 Se 3.19-3.21
Sr  0.9659  0.4614  0.9154  4 Se 3.13-3.15
Se  0.4089  0.1681  0.7997  5 Sr 3.11-3.21
Se  0.4159  0.6845  0.8137  5 Sr 3.08-3.20

Record 7
K2SrSe | PBE | optimized geometry

Computed properties:
For the total energy, the calculation gives -2.712 eV/atom. The calculation puts the formation energy from raw total energies at -0.871 eV per atom. The calculation puts the volume at 212.2 Å³/f.u.

Cell lengths 7.9426, 4.5801, 11.9257 Å; angles 90.00, 101.97, 90.00 degrees
Closest atoms and distances in Å follow each position.
Space group Cm (No. 8)
Inequivalent atoms, fractional coordinates:
K  0.0000  0.0000  0.0000  9 K 4.58-5.01, 3 Sr 4.73-4.76
K  0.2040  0.0000  0.6392  3 Se 3.33-3.34
Sr  0.2772  0.5000  0.3382  3 Se 3.03
Se  0.4834  0.0000  0.4650  3 Sr 3.03, 3 K 3.33-3.34

Record 8
KSr2Se | PBE | optimized geometry

Computed properties:
For the total energy, the calculation gives -2.868 eV/atom. The calculation puts the formation energy from raw total energies at -0.881 eV per atom. The calculation puts the volume at 189.7 Å³/f.u.

Cell lengths 4.3395, 7.9224, 11.3071 Å; angles 102.56, 90.06, 90.04 degrees
Closest atoms and distances in Å follow each position.
Space group P-1 (No. 2)
Inequivalent atoms, fractional coordinates:
K  0.2476  0.4666  0.1688  1 Se 3.38
Sr  0.2504  0.2491  0.5026  3 Se 3.13-3.14
Sr  0.2511  0.0164  0.8295  2 Se 3.11
Se  0.2492  0.8757  0.3365  5 Sr 3.11-3.14, 1 K 3.38

Record 9
KSr2Se | PBE | optimized geometry

Computed properties:
For the total energy, the calculation gives -2.893 eV/atom. The calculation puts the formation energy from raw total energies at -0.906 eV per atom. The calculation puts the volume at 188.6 Å³/f.u.

Cell lengths 7.5545, 4.3606, 11.7207 Å; angles 90.00, 102.34, 90.00 degrees
Closest atoms and distances in Å follow each position.
Space group C2/m (No. 12)
Inequivalent atoms, fractional coordinates:
K  0.0000  0.0000  0.0000  6 K 4.36, 6 Sr 4.60-4.61
Sr  0.2209  0.0000  0.6632  3 Se 3.13-3.14
Se  0.0000  0.5000  0.5000  6 Sr 3.13-3.14

Record 10
KSr2Se | PBE | optimized geometry

Computed properties:
For the total energy, the calculation gives -2.831 eV/atom. The calculation puts the formation energy from raw total energies at -0.844 eV per atom. The calculation puts the volume at 193.8 Å³/f.u.

Cell lengths 16.5781, 4.4624, 10.9290 Å; angles 90.00, 106.48, 90.00 degrees
Closest atoms and distances in Å follow each position.
Space group Cm (No. 8)
Inequivalent atoms, fractional coordinates:
K  0.0000  0.0000  0.0000  1 Se 3.32
K  0.1125  0.5000  0.7322  2 Se 3.31
Sr  0.1692  0.5000  0.3310  2 Se 3.16
Sr  0.2855  0.0000  0.0733  1 Se 3.08
Sr  0.3336  0.0000  0.6609  3 Se 3.01-3.16
Sr  0.4509  0.5000  0.4044  3 Se 3.03-3.18
Se  0.3090  0.0000  0.3633  6 Sr 3.08-3.18
Se  0.4589  0.5000  0.6847  3 Sr 3.01-3.03, 3 K 3.31-3.32

Record 11
K2SrSe | PBE | optimized geometry

Computed properties:
For the total energy, the calculation gives -2.390 eV/atom. The calculation puts the formation energy from raw total energies at -0.550 eV per atom. The calculation puts the volume at 157.7 Å³/f.u.

Cell lengths 4.9684, 4.9684, 6.3879 Å; angles 90.00, 90.00, 90.00 degrees
Closest atoms and distances in Å follow each position.
Space group P4/mmm (No. 123)
Inequivalent atoms, fractional coordinates:
K  0.0000  0.5000  0.0000  4 K 3.51
Sr  0.0000  0.0000  0.5000  4 Se 3.51
Se  0.5000  0.5000  0.5000  4 Sr 3.51

Record 12
KSr2Se | PBE | optimized geometry

Computed properties:
For the total energy, the calculation gives -2.344 eV/atom. The calculation puts the formation energy from raw total energies at -0.358 eV per atom. The calculation puts the volume at 164.5 Å³/f.u.

Cell lengths 7.8226, 11.4608, 4.3367 Å; angles 90.00, 122.23, 90.00 degrees
Closest atoms and distances in Å follow each position.
Space group C2/m (No. 12)
Inequivalent atoms, fractional coordinates:
K  0.0000  0.0000  0.0000  4 Sr 3.49, 2 Se 3.91
Sr  0.2500  0.2500  0.5000  2 Se 3.49, 2 K 3.49, 2 Sr 3.91
Se  0.0000  0.5000  0.0000  4 Sr 3.49, 2 K 3.91

Record 13
K2SrSe | PBE | optimized geometry

Computed properties:
For the total energy, the calculation gives -2.590 eV/atom. The calculation puts the formation energy from raw total energies at -0.750 eV per atom. The calculation puts the volume at 218.5 Å³/f.u.

Cell lengths 6.0043, 4.8866, 8.0232 Å; angles 90.00, 111.83, 90.00 degrees
Closest atoms and distances in Å follow each position.
Space group P2/m (No. 10)
Inequivalent atoms, fractional coordinates:
K  0.1454  0.0000  0.2908  2 Se 3.27
Sr  0.5000  0.5000  0.0000  2 Se 3.00
Se  0.0000  0.5000  0.0000  2 Sr 3.00, 4 K 3.27

Record 14
KSr2Se | PBE | optimized geometry

Computed properties:
For the total energy, the calculation gives -2.793 eV/atom. The calculation puts the formation energy from raw total energies at -0.806 eV per atom. The calculation puts the volume at 193.6 Å³/f.u.

Cell lengths 4.0556, 4.2661, 22.3850 Å; angles 90.00, 90.00, 90.00 degrees
Closest atoms and distances in Å follow each position.
Space group Imm2 (No. 44)
Inequivalent atoms, fractional coordinates:
K  0.0000  0.0000  0.0000  4 K 4.06-4.27
Sr  0.0000  0.0000  0.3418  2 Se 3.22
Sr  0.0000  0.5000  0.1801  4 Se 3.15
Se  0.0000  0.5000  0.7304  6 Sr 3.15-3.22

Record 15
KSr2Se | PBE | optimized geometry

Computed properties:
For the total energy, the calculation gives -2.880 eV/atom. The calculation puts the formation energy from raw total energies at -0.893 eV per atom. The calculation puts the volume at 191.2 Å³/f.u.

Cell lengths 14.8793, 4.3218, 13.1949 Å; angles 90.00, 115.64, 90.00 degrees
Closest atoms and distances in Å follow each position.
Space group C2/m (No. 12)
Inequivalent atoms, fractional coordinates:
K  0.1689  0.0000  0.0843  1 Se 3.41
Sr  0.0039  0.5000  0.2635  2 Se 3.10
Sr  0.1632  0.0000  0.5781  3 Se 3.11-3.15
Se  0.1699  0.0000  0.3431  5 Sr 3.10-3.15, 1 K 3.41

Record 16
KSr2Se | PBE | optimized geometry

Computed properties:
For the total energy, the calculation gives -2.785 eV/atom. The calculation puts the formation energy from raw total energies at -0.799 eV per atom. The calculation puts the volume at 178.3 Å³/f.u.

Cell lengths 4.0383, 4.0383, 10.9313 Å; angles 90.00, 90.00, 90.00 degrees
Closest atoms and distances in Å follow each position.
Space group P4mm (No. 99)
Inequivalent atoms, fractional coordinates:
K  0.0000  0.0000  0.0000  1 Sr 3.56, 4 Se 3.66
Sr  0.0000  0.0000  0.3261  4 Se 3.13
Sr  0.5000  0.5000  0.6447  8 Sr 4.04-4.50
Se  0.5000  0.5000  0.2094  4 Sr 3.13

Record 17
K2SrSe | PBE | optimized geometry

Computed properties:
For the total energy, the calculation gives -2.592 eV/atom. The calculation puts the formation energy from raw total energies at -0.752 eV per atom. The calculation puts the volume at 186.2 Å³/f.u.

Cell lengths 4.1534, 5.6616, 15.8352 Å; angles 90.00, 90.00, 90.00 degrees
Closest atoms and distances in Å follow each position.
Space group Imm2 (No. 44)
Inequivalent atoms, fractional coordinates:
K  0.0000  0.0000  0.0000  2 Se 3.46, 2 K 3.70
K  0.0000  0.5000  0.1503  4 Se 3.53, 2 K 3.70, 2 Sr 3.84
Sr  0.0000  0.0000  0.3144  2 Se 3.03
Se  0.0000  0.5000  0.6749  2 Sr 3.03

Record 18
KSr2Se | PBE | optimized geometry

Computed properties:
For the total energy, the calculation gives -2.835 eV/atom. The calculation puts the formation energy from raw total energies at -0.849 eV per atom. The calculation puts the volume at 191.2 Å³/f.u.

Cell lengths 6.6661, 13.4944, 4.2515 Å; angles 90.00, 90.00, 90.00 degrees
Closest atoms and distances in Å follow each position.
Space group Imm2 (No. 44)
Inequivalent atoms, fractional coordinates:
K  0.0000  0.0000  0.0000  2 Se 3.33
Sr  0.0000  0.3354  0.0047  2 Se 3.07
Se  0.0000  0.5000  0.5048  4 Sr 3.07, 2 K 3.33

Record 19
KSr2Se | PBE | optimized geometry

Computed properties:
For the total energy, the calculation gives -2.364 eV/atom. The calculation puts the formation energy from raw total energies at -0.378 eV per atom. The calculation puts the volume at 158.1 Å³/f.u.

Cell lengths 5.2196, 5.2196, 11.6083 Å; angles 90.00, 90.00, 90.00 degrees
Closest atoms and distances in Å follow each position.
Space group I4/mmm (No. 139)
Inequivalent atoms, fractional coordinates:
K  0.0000  0.0000  0.0000  4 Se 3.69, 8 Sr 3.90
Sr  0.0000  0.5000  0.2500  4 Sr 3.69, 4 K 3.90, 4 Se 3.90
Se  0.0000  0.0000  0.5000  4 K 3.69, 8 Sr 3.90

Record 20
KSr2Se | PBE | optimized geometry

Computed properties:
For the total energy, the calculation gives -2.770 eV/atom. The calculation puts the formation energy from raw total energies at -0.784 eV per atom. The calculation puts the volume at 181.3 Å³/f.u.

Cell lengths 4.3507, 5.2899, 15.7549 Å; angles 90.00, 90.00, 90.00 degrees
Closest atoms and distances in Å follow each position.
Space group Amm2 (No. 38)
Inequivalent atoms, fractional coordinates:
K  0.0000  0.0000  0.0000  4 Se 3.48, 2 Sr 3.86
Sr  0.0000  0.0000  0.3213  2 Se 3.09
Sr  0.5000  0.0000  0.6536  1 Se 3.04
Se  0.5000  0.0000  0.4606  3 Sr 3.04-3.09